DFT (PBE-GGA) results for a relaxed structure of CoTe2PN.

a b c (Å): 5.3572 5.3572 3.2481
angles (deg): 90.00 90.00 90.00
Site moments in Bohr magnetons follow the coordinates.
Atoms (fractional coordinates):
P: 0.0000 0.0000 0.0000  -0.02
Te: 0.0000 0.5000 0.0000  -0.01
Te: 0.5000 0.0000 0.0000  -0.01
Co: 0.5000 0.5000 0.5000  1.70
N: 0.0000 0.0000 0.5000  0.00

For the final energy, the calculation gives -4.648 eV per atom. The magnetization comes out at 1.6 μB per formula unit. The uncorrected formation energy comes out at 3.882 eV per formula unit. Its energy relative to the lowest polymorph listed for this composition is 1.32 eV/f.u.